Here is an optimized crystal structure of HfRe3Tc from Alexandria via LeMat-Bulk. Energies are from PBE. Values from VASP.

Values from the calculation:
total energy	-8.809	eV/atom
formation energy	2.724	eV per atom
symmetry	Pm-3m (221)

Cell and atoms, written as Quantum ESPRESSO input:
```
&SYSTEM
  ibrav = 0, nat = 5, ntyp = 3
/
ATOMIC_SPECIES
Tc 98.00 Tc.upf
Hf 178.49 Hf.upf
Re 186.21 Re.upf
CELL_PARAMETERS angstrom
-1.3845 -4.0853 -1.7687
1.9699 1.0988 -4.0800
3.9922 -1.9590 1.3999
ATOMIC_POSITIONS angstrom
Tc 2.2888 -2.4727 -2.2244
Hf 0.0000 0.0000 0.0000
Re -0.6922 -2.0426 -0.8843
Re 0.9849 0.5494 -2.0400
Re 1.9961 -0.9795 0.6999
```